[1]
First-principles (PBE) data for a geometry-optimized NaHIr structure, as listed in the Alexandria database.

Output
V = 73.4 Å³ per cell
calculated total energy = -0.3256 Ry/atom
offset from the most stable computed form = 10 meV per atom
M_tot = 0.0000 μB/atom

CIF file:
```
data_NaHIr
_chemical_formula_sum 'Na2 H2 Ir2'
_cell_length_a 5.0064
_cell_length_b 2.9086
_cell_length_c 5.3064
_cell_angle_alpha 90.00
_cell_angle_beta 108.18
_cell_angle_gamma 90.00
_space_group_name_H-M_alt 'C 1 m 1'
_space_group_IT_number 8
loop_
_space_group_symop_operation_xyz
'x,y,z'
'x,-y,z'
'x+1/2,y+1/2,z'
'x+1/2,-y+1/2,z'
loop_
_atom_site_label
_atom_site_fract_x
_atom_site_fract_y
_atom_site_fract_z
Na1 0.0000 0.0000 0.0000
H1 0.2112 0.0000 0.6358
Ir1 0.4967 0.0000 0.4894
```

=====

[2]
First-principles (PBE) data for a geometry-optimized TmGa2Ni8 structure, as listed in the Alexandria database.

Output
V = 177.0 Å³ per cell
calculated total energy = -0.3639 Ry/atom
M_tot = 0.0341 μB/atom
formation energy = 0.210 eV/atom

CIF file:
```
data_TmGa2Ni8
_chemical_formula_sum 'Tm1 Ga2 Ni8'
_cell_length_a 4.7080
_cell_length_b 4.7080
_cell_length_c 7.9852
_cell_angle_alpha 90.00
_cell_angle_beta 90.00
_cell_angle_gamma 90.00
_space_group_name_H-M_alt 'P 4/m m m'
_space_group_IT_number 123
_space_group_name_Hall '-P 4 2'
loop_
_atom_site_label
_atom_site_fract_x
_atom_site_fract_y
_atom_site_fract_z
Tm1 0.0000 0.0000 0.0000
Ga1 0.0000 0.5000 0.5000
Ni1 0.2536 0.2536 0.2732
```

=====

[3]
First-principles (PBE) data for a geometry-optimized Cr2CdHg structure, as listed in the Alexandria database.

Output
V = 70.6 Å³ per cell
calculated total energy = -0.3227 Ry/atom
offset from the most stable computed form = 439 meV per atom
M_tot = 0.1950 μB/atom
formation energy = 0.725 eV/atom

CIF file:
```
data_Cr2CdHg
_chemical_formula_sum 'Cr2 Cd1 Hg1'
_cell_length_a 2.9220
_cell_length_b 4.4113
_cell_length_c 5.4770
_cell_angle_alpha 90.00
_cell_angle_beta 90.23
_cell_angle_gamma 90.00
_space_group_name_H-M_alt 'P 1 2/m 1'
_space_group_IT_number 10
loop_
_space_group_symop_operation_xyz
'x,y,z'
'-x,-y,-z'
'-x,y,-z'
'x,-y,z'
loop_
_atom_site_label
_atom_site_fract_x
_atom_site_fract_y
_atom_site_fract_z
Cr1 0.0013 0.0000 0.1776
Cd1 0.5000 0.5000 0.0000
Hg1 0.5000 0.5000 0.5000
```

=====

[4]
First-principles (PBE) data for a geometry-optimized Th2MgSn9 structure, as listed in the Alexandria database.

Output
V = 320.2 Å³ per cell
calculated total energy = -0.3422 Ry/atom
M_tot = 0.0000 μB/atom
formation energy = -0.285 eV/atom

CIF file:
```
data_Th2MgSn9
_chemical_formula_sum 'Th2 Mg1 Sn9'
_cell_length_a 4.7327
_cell_length_b 4.7327
_cell_length_c 14.2944
_cell_angle_alpha 90.00
_cell_angle_beta 90.00
_cell_angle_gamma 90.00
_space_group_name_H-M_alt 'P 4/m m m'
_space_group_IT_number 123
_space_group_name_Hall '-P 4 2'
loop_
_atom_site_label
_atom_site_fract_x
_atom_site_fract_y
_atom_site_fract_z
Th1 0.0000 0.0000 0.1610
Mg1 0.0000 0.0000 0.5000
Sn1 0.0000 0.5000 0.0000
Sn2 0.0000 0.5000 0.3394
Sn3 0.5000 0.5000 0.1695
Sn4 0.5000 0.5000 0.5000
```

=====

[5]
First-principles (PBE) data for a geometry-optimized LiTb2HoPd4 structure, as listed in the Alexandria database.

Output
V = 486.9 Å³ per cell
calculated total energy = -0.3935 Ry/atom
M_tot = 0.0000 μB/atom
formation energy = -0.788 eV/atom

CIF file:
```
data_LiTb2HoPd4
_chemical_formula_sum 'Li3 Tb6 Ho3 Pd12'
_cell_length_a 4.8858
_cell_length_b 4.8858
_cell_length_c 23.5548
_cell_angle_alpha 90.00
_cell_angle_beta 90.00
_cell_angle_gamma 120.00
_space_group_name_H-M_alt 'R -3 m'
_space_group_IT_number 166
_space_group_name_Hall '-R 3 2"'
loop_
_atom_site_label
_atom_site_fract_x
_atom_site_fract_y
_atom_site_fract_z
Li1 0.0000 0.0000 0.0000
Tb1 0.0000 0.0000 0.2575
Ho1 0.0000 0.0000 0.5000
Pd1 0.0000 0.0000 0.1263
Pd2 0.0000 0.0000 0.3793
```

=====

[6]
First-principles (PBE) data for a geometry-optimized YbAu3 structure, as listed in the Alexandria database.

Output
V = 164.3 Å³ per cell
calculated total energy = -0.2531 Ry/atom
M_tot = 0.0609 μB/atom
formation energy = -0.604 eV/atom

CIF file:
```
data_YbAu3
_chemical_formula_sum 'Yb2 Au6'
_cell_length_a 6.2307
_cell_length_b 6.2307
_cell_length_c 4.8865
_cell_angle_alpha 90.00
_cell_angle_beta 90.00
_cell_angle_gamma 120.00
_space_group_name_H-M_alt 'P 63/m m c'
_space_group_IT_number 194
_space_group_name_Hall '-P 6c 2c'
loop_
_atom_site_label
_atom_site_fract_x
_atom_site_fract_y
_atom_site_fract_z
Yb1 0.3333 0.6667 0.2500
Au1 0.1607 0.3214 0.7500
```

=====

[7]
First-principles (PBE) data for a geometry-optimized PaTaC structure, as listed in the Alexandria database.

Output
V = 192.6 Å³ per cell
calculated total energy = -0.7584 Ry/atom
offset from the most stable computed form = 126 meV per atom
M_tot = 0.0000 μB/atom
formation energy = -0.128 eV/atom

CIF file:
```
data_PaTaC
_chemical_formula_sum 'Pa4 Ta4 C4'
_cell_length_a 6.0804
_cell_length_b 3.1158
_cell_length_c 10.1647
_cell_angle_alpha 90.00
_cell_angle_beta 90.00
_cell_angle_gamma 90.00
_space_group_name_H-M_alt 'P n m a'
_space_group_IT_number 62
loop_
_space_group_symop_operation_xyz
'x,y,z'
'-x,-y,-z'
'-x+1/2,-y,z+1/2'
'x+1/2,y,-z+1/2'
'x+1/2,-y+1/2,-z+1/2'
'-x+1/2,y+1/2,z+1/2'
'-x,y+1/2,-z'
'x,-y+1/2,z'
loop_
_atom_site_label
_atom_site_fract_x
_atom_site_fract_y
_atom_site_fract_z
Pa1 0.2257 0.2500 0.0271
Ta1 0.0541 0.7500 0.2688
C1 0.1729 0.7500 0.8061
```

=====

[8]
First-principles (PBE) data for a geometry-optimized La2H6IrPt structure, as listed in the Alexandria database.

Output
V = 226.9 Å³ per cell
calculated total energy = -0.3711 Ry/atom
M_tot = 0.0000 μB/atom

CIF file:
```
data_La2H6IrPt
_chemical_formula_sum 'La4 H12 Ir2 Pt2'
_cell_length_a 7.5592
_cell_length_b 7.7714
_cell_length_c 5.3933
_cell_angle_alpha 90.00
_cell_angle_beta 134.27
_cell_angle_gamma 90.00
_space_group_name_H-M_alt 'C 1 2/m 1'
_space_group_IT_number 12
loop_
_space_group_symop_operation_xyz
'x,y,z'
'-x,-y,-z'
'-x,y,-z'
'x,-y,z'
'x+1/2,y+1/2,z'
'-x+1/2,-y+1/2,-z'
'-x+1/2,y+1/2,-z'
'x+1/2,-y+1/2,z'
loop_
_atom_site_label
_atom_site_fract_x
_atom_site_fract_y
_atom_site_fract_z
La1 0.0000 0.2504 0.0000
H1 0.0000 0.2293 0.5000
H2 0.2299 0.0000 0.9610
H3 0.2363 0.0000 0.4982
Ir1 0.0000 0.0000 0.5000
Pt1 0.0000 0.5000 0.5000
```

=====

[9]
First-principles (PBE) data for a geometry-optimized NdHoMgCd structure, as listed in the Alexandria database.

Output
V = 442.1 Å³ per cell
calculated total energy = -0.2325 Ry/atom
M_tot = 0.0002 μB/atom
formation energy = -0.200 eV/atom

CIF file:
```
data_NdHoMgCd
_chemical_formula_sum 'Nd4 Ho4 Mg4 Cd4'
_cell_length_a 7.6181
_cell_length_b 7.6181
_cell_length_c 7.6181
_cell_angle_alpha 90.00
_cell_angle_beta 90.00
_cell_angle_gamma 90.00
_space_group_name_H-M_alt 'F -4 3 m'
_space_group_IT_number 216
_space_group_name_Hall 'F -4 2 3'
loop_
_atom_site_label
_atom_site_fract_x
_atom_site_fract_y
_atom_site_fract_z
Nd1 0.0000 0.0000 0.0000
Ho1 0.0000 0.0000 0.5000
Mg1 0.2500 0.2500 0.7500
Cd1 0.2500 0.2500 0.2500
```

=====

[10]
First-principles (PBE) data for a geometry-optimized Pu4Pt2N structure, as listed in the Alexandria database.

Output
V = 315.4 Å³ per cell
calculated total energy = -0.8671 Ry/atom
M_tot = 3.1342 μB/atom
energy relative to the elements, uncorrected = -0.692 eV per atom

CIF file:
```
data_Pu4Pt2N
_chemical_formula_sum 'Pu8 Pt4 N2'
_cell_length_a 4.5767
_cell_length_b 4.5767
_cell_length_c 15.0595
_cell_angle_alpha 90.00
_cell_angle_beta 90.00
_cell_angle_gamma 90.00
_space_group_name_H-M_alt 'I 4/m m m'
_space_group_IT_number 139
_space_group_name_Hall '-I 4 2'
loop_
_atom_site_label
_atom_site_fract_x
_atom_site_fract_y
_atom_site_fract_z
Pu1 0.0000 0.0000 0.1779
Pu2 0.0000 0.5000 0.0000
Pt1 0.0000 0.0000 0.3656
N1 0.0000 0.0000 0.0000
```

=====

What did the fifth record say?
First-principles (PBE) data for a geometry-optimized LiTb2HoPd4 structure, as listed in the Alexandria database.

Output
V = 486.9 Å³ per cell
calculated total energy = -0.3935 Ry/atom
M_tot = 0.0000 μB/atom
formation energy = -0.788 eV/atom

CIF file:
```
data_LiTb2HoPd4
_chemical_formula_sum 'Li3 Tb6 Ho3 Pd12'
_cell_length_a 4.8858
_cell_length_b 4.8858
_cell_length_c 23.5548
_cell_angle_alpha 90.00
_cell_angle_beta 90.00
_cell_angle_gamma 120.00
_space_group_name_H-M_alt 'R -3 m'
_space_group_IT_number 166
_space_group_name_Hall '-R 3 2"'
loop_
_atom_site_label
_atom_site_fract_x
_atom_site_fract_y
_atom_site_fract_z
Li1 0.0000 0.0000 0.0000
Tb1 0.0000 0.0000 0.2575
Ho1 0.0000 0.0000 0.5000
Pd1 0.0000 0.0000 0.1263
Pd2 0.0000 0.0000 0.3793
```

=====

> What is the V in the seventh record?

192.6 Å³ per cell

=====

> Which formula does entry 10 have?

Pu4Pt2N

=====

> Which value of V does entry 1 give?

73.4 Å³ per cell